Computed, not measured: crystalline PuGa2 at its relaxed geometry at the PBE-GGA level of DFT.

## Properties
Crystal system: cubic
M_tot (μB/cell): 11.15
Formation energy (eV per atom): -0.390

Cell lengths 5.509, 5.509, 5.509 Å; angles 60.00, 60.00, 60.00 degrees
Element x y z (fractional)
1 Pu 0.125 0.125 0.125
2 Pu 0.875 0.875 0.875
3 Ga 0.000 0.500 0.500
4 Ga 0.500 0.000 0.500
5 Ga 0.500 0.500 0.000
6 Ga 0.500 0.500 0.500

***

Computed, not measured: crystalline PuGa6 at its relaxed geometry at the PBE-GGA level of DFT.

## Properties
Crystal system: cubic
M_tot (μB/cell): 5.67
ΔE to the lowest computed polymorph (eV per formula unit): 2.67
Formation energy (eV per atom): 0.167

Cell lengths 6.051, 6.051, 6.051 Å; angles 109.47, 109.47, 109.47 degrees
Element x y z (fractional)
1 Pu 0.000 0.000 0.000
2 Ga 0.250 0.500 0.750
3 Ga 0.250 0.750 0.500
4 Ga 0.500 0.250 0.750
5 Ga 0.500 0.750 0.250
6 Ga 0.750 0.250 0.500
7 Ga 0.750 0.500 0.250

***

Computed, not measured: crystalline Pu3Ga5 at its relaxed geometry at the PBE-GGA level of DFT.

## Properties
Crystal system: orthorhombic
M_tot (μB/cell): 10.98
Formation energy (eV per atom): -0.324

Cell lengths 6.091, 6.091, 9.214 Å; angles 90.00, 90.00, 81.39 degrees
Element x y z (fractional)
1 Pu 0.091 0.909 0.750
2 Pu 0.267 0.267 0.000
3 Pu 0.267 0.267 0.500
4 Pu 0.733 0.733 0.000
5 Pu 0.733 0.733 0.500
6 Pu 0.909 0.091 0.250
7 Ga 0.026 0.547 0.250
8 Ga 0.236 0.764 0.049
9 Ga 0.236 0.764 0.451
10 Ga 0.453 0.974 0.250
11 Ga 0.483 0.517 0.750
12 Ga 0.517 0.483 0.250
13 Ga 0.547 0.026 0.750
14 Ga 0.764 0.236 0.549
15 Ga 0.764 0.236 0.951
16 Ga 0.974 0.453 0.750

***

Computed, not measured: crystalline Pu2Ga3 at its relaxed geometry at the PBE-GGA level of DFT.

## Properties
Crystal system: orthorhombic
M_tot (μB/cell): 22.57
Formation energy (eV per atom): -0.267

Cell lengths 5.814, 5.814, 7.754 Å; angles 90.00, 90.00, 123.20 degrees
Element x y z (fractional)
1 Pu 0.146 0.854 0.894
2 Pu 0.354 0.646 0.394
3 Pu 0.646 0.354 0.606
4 Pu 0.854 0.146 0.106
5 Ga 0.000 0.000 0.500
6 Ga 0.140 0.360 0.750
7 Ga 0.360 0.140 0.250
8 Ga 0.500 0.500 0.000
9 Ga 0.640 0.860 0.750
10 Ga 0.860 0.640 0.250

***

Computed, not measured: crystalline PuGa5 at its relaxed geometry at the PBE-GGA level of DFT.

## Properties
Crystal system: orthorhombic
M_tot (μB/cell): 5.64
ΔE to the lowest computed polymorph (eV per formula unit): 0.19
Formation energy (eV per atom): -0.219

Cell lengths 6.421, 6.421, 4.497 Å; angles 90.00, 90.00, 141.62 degrees
Element x y z (fractional)
1 Pu 0.000 0.000 0.000
2 Ga 0.169 0.831 0.500
3 Ga 0.318 0.682 0.000
4 Ga 0.500 0.500 0.500
5 Ga 0.682 0.318 0.000
6 Ga 0.831 0.169 0.500

***

Computed, not measured: crystalline PuGa5 at its relaxed geometry at the PBE-GGA level of DFT.

## Properties
Crystal system: orthorhombic
M_tot (μB/cell): 5.59
ΔE to the lowest computed polymorph (eV per formula unit): 0.00
Formation energy (eV per atom): -0.250

Cell lengths 5.621, 5.621, 5.621 Å; angles 132.61, 113.43, 85.72 degrees
Element x y z (fractional)
1 Pu 0.000 0.000 0.000
2 Ga 0.099 0.334 0.765
3 Ga 0.432 0.666 0.765
4 Ga 0.500 0.000 0.500
5 Ga 0.568 0.334 0.235
6 Ga 0.901 0.666 0.235

***

Computed, not measured: crystalline Pu2Ga3 at its relaxed geometry at the PBE-GGA level of DFT.

## Properties
Crystal system: trigonal
M_tot (μB/cell): 11.05
Formation energy (eV per atom): -0.215

Cell lengths 5.999, 5.999, 5.999 Å; angles 47.29, 47.29, 47.29 degrees
Element x y z (fractional)
1 Pu 0.097 0.097 0.097
2 Pu 0.903 0.903 0.903
3 Ga 0.312 0.312 0.312
4 Ga 0.500 0.500 0.500
5 Ga 0.688 0.688 0.688

***

Computed, not measured: crystalline Pu3Ga at its relaxed geometry at the PBE-GGA level of DFT.

## Properties
Crystal system: tetragonal
M_tot (μB/cell): 16.96
ΔE to the lowest computed polymorph (eV per formula unit): 0.01
Formation energy (eV per atom): -0.065

Cell lengths 5.627, 5.627, 5.627 Å; angles 132.47, 132.47, 69.49 degrees
Element x y z (fractional)
1 Pu 0.000 0.000 0.000
2 Pu 0.250 0.750 0.500
3 Pu 0.750 0.250 0.500
4 Ga 0.500 0.500 0.000

***

Computed, not measured: crystalline Pu3Ga at its relaxed geometry at the PBE-GGA level of DFT.

## Properties
Crystal system: tetragonal
M_tot (μB/cell): 5.86
ΔE to the lowest computed polymorph (eV per formula unit): 0.00
Formation energy (eV per atom): -0.068

Cell lengths 4.582, 4.582, 4.030 Å; angles 90.00, 90.00, 90.00 degrees
Element x y z (fractional)
1 Pu 0.000 0.000 0.000
2 Pu 0.000 0.500 0.330
3 Pu 0.500 0.000 0.330
4 Ga 0.500 0.500 0.842

***

Computed, not measured: crystalline Pu2Ga at its relaxed geometry at the PBE-GGA level of DFT.

## Properties
Crystal system: tetragonal
M_tot (μB/cell): 12.07
Formation energy (eV per atom): 0.140

Cell lengths 5.114, 5.114, 3.194 Å; angles 90.00, 90.00, 90.00 degrees
Element x y z (fractional)
1 Pu 0.000 0.500 0.000
2 Pu 0.500 0.000 0.000
3 Ga 0.000 0.000 0.500

***

Computed, not measured: crystalline Pu3Ga at its relaxed geometry at the PBE-GGA level of DFT.

## Properties
Crystal system: cubic
M_tot (μB/cell): 5.37
ΔE to the lowest computed polymorph (eV per formula unit): 0.31
Formation energy (eV per atom): 0.011

Cell lengths 4.868, 4.868, 4.868 Å; angles 60.00, 60.00, 60.00 degrees
Element x y z (fractional)
1 Pu 0.000 0.000 0.000
2 Pu 0.250 0.250 0.250
3 Pu 0.750 0.750 0.750
4 Ga 0.500 0.500 0.500

***

Computed, not measured: crystalline Pu5Ga at its relaxed geometry at the PBE-GGA level of DFT.

## Properties
Crystal system: orthorhombic
M_tot (μB/cell): 2.99
Formation energy (eV per atom): 0.078

Cell lengths 6.333, 6.333, 4.953 Å; angles 90.00, 90.00, 144.09 degrees
Element x y z (fractional)
1 Pu 0.000 0.000 0.000
2 Pu 0.195 0.805 0.500
3 Pu 0.360 0.640 0.000
4 Pu 0.640 0.360 0.000
5 Pu 0.805 0.195 0.500
6 Ga 0.500 0.500 0.500

***

Computed, not measured: crystalline Pu6Ga23 at its relaxed geometry at the PBE-GGA level of DFT.

## Properties
Crystal system: cubic
M_tot (μB/cell): 32.95
Formation energy (eV per atom): -0.240

Cell lengths 9.364, 9.364, 9.364 Å; angles 60.00, 60.00, 60.00 degrees
Element x y z (fractional)
1 Pu 0.240 0.240 0.760
2 Pu 0.240 0.760 0.240
3 Pu 0.240 0.760 0.760
4 Pu 0.760 0.240 0.240
5 Pu 0.760 0.240 0.760
6 Pu 0.760 0.760 0.240
7 Ga 0.000 0.000 0.000
8 Ga 0.000 0.000 0.500
9 Ga 0.000 0.500 0.000
10 Ga 0.000 0.500 0.500
11 Ga 0.096 0.635 0.635
12 Ga 0.148 0.148 0.148
13 Ga 0.148 0.148 0.555
14 Ga 0.148 0.555 0.148
15 Ga 0.365 0.365 0.365
16 Ga 0.365 0.365 0.904
17 Ga 0.365 0.904 0.365
18 Ga 0.445 0.852 0.852
19 Ga 0.500 0.000 0.000
20 Ga 0.500 0.000 0.500
21 Ga 0.500 0.500 0.000
22 Ga 0.555 0.148 0.148
23 Ga 0.635 0.096 0.635
24 Ga 0.635 0.635 0.096
25 Ga 0.635 0.635 0.635
26 Ga 0.852 0.445 0.852
27 Ga 0.852 0.852 0.445
28 Ga 0.852 0.852 0.852
29 Ga 0.904 0.365 0.365

***

Computed, not measured: crystalline Rb2PuGaS4 at its relaxed geometry at the PBE-GGA level of DFT.

## Properties
Crystal system: orthorhombic
M_tot (μB/cell): 10.00
Formation energy (no corrections) (eV per formula unit): -8.75

Cell lengths 8.510, 8.222, 7.596 Å; angles 90.00, 90.00, 90.00 degrees
Element x y z (fractional)
1 Rb 0.250 0.248 0.000
2 Rb 0.250 0.752 0.500
3 Rb 0.750 0.248 0.000
4 Rb 0.750 0.752 0.500
5 Pu 0.000 0.182 0.494
6 Pu 0.500 0.818 0.994
7 Ga 0.000 0.806 0.993
8 Ga 0.500 0.194 0.493
9 S 0.000 0.981 0.234
10 S 0.000 0.991 0.762
11 S 0.225 0.654 0.987
12 S 0.275 0.346 0.487
13 S 0.500 0.009 0.262
14 S 0.500 0.019 0.734
15 S 0.725 0.346 0.487
16 S 0.775 0.654 0.987

***

Computed, not measured: crystalline Rb2PuGaS5 at its relaxed geometry at the PBE-GGA level of DFT.

## Properties
Crystal system: orthorhombic
M_tot (μB/cell): 6.03
Formation energy (no corrections) (eV per formula unit): -9.55

Cell lengths 9.754, 9.754, 14.393 Å; angles 90.00, 90.00, 156.49 degrees
Element x y z (fractional)
1 Rb 0.115 0.885 0.500
2 Rb 0.131 0.869 0.140
3 Rb 0.869 0.131 0.640
4 Rb 0.885 0.115 0.000
5 Pu 0.201 0.799 0.842
6 Pu 0.799 0.201 0.342
7 Ga 0.434 0.566 0.242
8 Ga 0.566 0.434 0.742
9 S 0.057 0.943 0.839
10 S 0.298 0.702 0.461
11 S 0.312 0.688 0.214
12 S 0.329 0.671 0.826
13 S 0.495 0.505 0.114
14 S 0.505 0.495 0.614
15 S 0.671 0.329 0.326
16 S 0.688 0.312 0.714
17 S 0.702 0.298 0.961
18 S 0.943 0.057 0.339

***

Computed, not measured: crystalline Rb2Pu2GaS6 at its relaxed geometry at the PBE-GGA level of DFT.

## Properties
Crystal system: monoclinic
M_tot (μB/cell): 9.00
Formation energy (no corrections) (eV per formula unit): -13.59

Cell lengths 6.849, 6.849, 8.146 Å; angles 98.00, 98.00, 120.02 degrees
Element x y z (fractional)
1 Rb 0.167 0.833 0.000
2 Rb 0.833 0.167 0.000
3 Pu 0.333 0.667 0.500
4 Pu 0.667 0.333 0.500
5 Ga 0.000 0.000 0.500
6 S 0.060 0.383 0.681
7 S 0.247 0.247 0.327
8 S 0.383 0.060 0.681
9 S 0.617 0.940 0.319
10 S 0.753 0.753 0.673
11 S 0.940 0.617 0.319

***

Computed, not measured: crystalline Rb4Pu3GaS8 at its relaxed geometry at the PBE-GGA level of DFT.

## Properties
Crystal system: trigonal
M_tot (μB/cell): 14.28
Formation energy (no corrections) (eV per formula unit): -21.31

Cell lengths 8.941, 8.941, 8.941 Å; angles 54.73, 54.73, 54.73 degrees
Element x y z (fractional)
1 Rb 0.000 0.000 0.000
2 Rb 0.000 0.500 0.500
3 Rb 0.500 0.000 0.500
4 Rb 0.500 0.500 0.000
5 Pu 0.000 0.000 0.500
6 Pu 0.000 0.500 0.000
7 Pu 0.500 0.000 0.000
8 Ga 0.500 0.500 0.500
9 S 0.230 0.230 0.230
10 S 0.231 0.726 0.726
11 S 0.274 0.274 0.769
12 S 0.274 0.769 0.274
13 S 0.726 0.231 0.726
14 S 0.726 0.726 0.231
15 S 0.769 0.274 0.274
16 S 0.770 0.770 0.770

***

Computed, not measured: crystalline Rb4Pu3GaSe8 at its relaxed geometry at the PBE-GGA level of DFT.

## Properties
Crystal system: trigonal
M_tot (μB/cell): 14.20
Formation energy (no corrections) (eV per formula unit): -19.89

Cell lengths 9.318, 9.318, 9.318 Å; angles 54.84, 54.84, 54.84 degrees
Element x y z (fractional)
1 Rb 0.000 0.000 0.000
2 Rb 0.000 0.500 0.500
3 Rb 0.500 0.000 0.500
4 Rb 0.500 0.500 0.000
5 Pu 0.000 0.000 0.500
6 Pu 0.000 0.500 0.000
7 Pu 0.500 0.000 0.000
8 Ga 0.500 0.500 0.500
9 Se 0.231 0.728 0.728
10 Se 0.232 0.232 0.232
11 Se 0.272 0.272 0.769
12 Se 0.272 0.769 0.272
13 Se 0.728 0.231 0.728
14 Se 0.728 0.728 0.231
15 Se 0.768 0.768 0.768
16 Se 0.769 0.272 0.272

***

Computed, not measured: crystalline Rb3Pu3GaSe8 at its relaxed geometry at the PBE-GGA level of DFT.

## Properties
Crystal system: trigonal
M_tot (μB/cell): 13.93
Formation energy (no corrections) (eV per formula unit): -18.20

Cell lengths 9.423, 9.423, 9.423 Å; angles 52.86, 52.86, 52.86 degrees
Element x y z (fractional)
1 Rb 0.000 0.500 0.500
2 Rb 0.500 0.000 0.500
3 Rb 0.500 0.500 0.000
4 Pu 0.000 0.000 0.500
5 Pu 0.000 0.500 0.000
6 Pu 0.500 0.000 0.000
7 Ga 0.500 0.500 0.500
8 Se 0.231 0.231 0.231
9 Se 0.241 0.720 0.720
10 Se 0.280 0.280 0.759
11 Se 0.280 0.759 0.280
12 Se 0.720 0.241 0.720
13 Se 0.720 0.720 0.241
14 Se 0.759 0.280 0.280
15 Se 0.769 0.769 0.769

***

Computed, not measured: crystalline Rb2Pu2GaSe6 at its relaxed geometry at the PBE-GGA level of DFT.

## Properties
Crystal system: monoclinic
M_tot (μB/cell): 9.00
Formation energy (no corrections) (eV per formula unit): -12.37

Cell lengths 7.164, 7.164, 8.492 Å; angles 98.13, 98.13, 120.02 degrees
Element x y z (fractional)
1 Rb 0.168 0.832 0.000
2 Rb 0.832 0.168 0.000
3 Pu 0.332 0.668 0.500
4 Pu 0.668 0.332 0.500
5 Ga 0.000 0.000 0.500
6 Se 0.063 0.386 0.686
7 Se 0.249 0.249 0.322
8 Se 0.386 0.063 0.686
9 Se 0.614 0.937 0.314
10 Se 0.751 0.751 0.678
11 Se 0.937 0.614 0.314

***

Computed, not measured: crystalline RbPuGaTe3 at its relaxed geometry at the PBE-GGA level of DFT.

## Properties
Crystal system: monoclinic
M_tot (μB/cell): 9.13
Formation energy (no corrections) (eV per formula unit): -4.66

Cell lengths 10.380, 4.278, 10.607 Å; angles 90.00, 106.40, 90.00 degrees
Element x y z (fractional)
1 Rb 0.187 0.250 0.230
2 Rb 0.813 0.750 0.770
3 Pu 0.348 0.750 0.843
4 Pu 0.652 0.250 0.157
5 Ga 0.104 0.250 0.556
6 Ga 0.896 0.750 0.444
7 Te 0.126 0.250 0.823
8 Te 0.288 0.750 0.544
9 Te 0.437 0.750 0.145
10 Te 0.563 0.250 0.855
11 Te 0.712 0.250 0.456
12 Te 0.874 0.750 0.177

***

Computed, not measured: crystalline Pu2Ga3Re at its relaxed geometry at the PBE-GGA level of DFT.

## Properties
Crystal system: trigonal
M_tot (μB/cell): 10.32
Formation energy (eV per atom): -0.249

Cell lengths 5.400, 5.400, 5.400 Å; angles 60.68, 60.68, 60.68 degrees
Element x y z (fractional)
1 Pu 0.126 0.126 0.126
2 Pu 0.874 0.874 0.874
3 Ga 0.000 0.500 0.500
4 Ga 0.500 0.000 0.500
5 Ga 0.500 0.500 0.000
6 Re 0.500 0.500 0.500